No. 1
! Ba4Tl5Sb6 (PBE-GGA, optimized geometry); values from VASP
&SYSTEM
  ibrav = 0, nat = 30, ntyp = 3
/
ATOMIC_SPECIES
Sb 121.76 Sb.upf
Tl 204.38 Tl.upf
Ba 137.33 Ba.upf
CELL_PARAMETERS angstrom
-3.873 2.433 -2.708
-4.594 -10.944 1.956
-7.175 5.772 15.444
ATOMIC_POSITIONS angstrom
Sb -9.273 5.187 12.703
Sb -7.552 3.179 8.438
Sb -6.331 -7.334 2.467
Sb -2.184 -1.181 2.063
Sb -7.287 -2.261 3.174
Sb -5.119 2.251 4.127
Sb -11.678 -2.991 8.797
Sb -8.596 -6.135 6.782
Sb -6.505 -1.757 7.724
Sb -8.685 -0.214 12.227
Sb -11.971 -3.826 13.682
Sb -12.465 1.695 14.132
Tl -6.667 0.403 9.896
Tl -9.669 2.496 10.852
Tl -6.368 -4.918 4.689
Tl -11.453 -1.075 15.412
Tl -10.797 -5.033 10.920
Tl -8.639 -2.604 10.015
Tl -3.717 1.386 1.343
Tl -5.189 -1.595 0.772
Tl -7.363 0.888 6.111
Tl -7.222 -4.553 1.022
Ba -5.976 3.642 11.818
Ba -8.187 -8.072 -0.759
Ba -9.041 2.190 14.896
Ba -4.283 -1.361 4.902
Ba -3.887 2.462 7.769
Ba -9.489 -2.606 6.013
Ba -9.840 -6.242 3.249
Ba -12.147 -0.745 11.486
! Energy relative to the elements, uncorrected = -7.91 eV/f.u.


No. 2
! NiTeBr2 (PBE-GGA, optimized geometry); values from VASP
&SYSTEM
  ibrav = 0, nat = 4, ntyp = 3
/
ATOMIC_SPECIES
Br 79.90 Br.upf
Ni 58.69 Ni.upf
Te 127.60 Te.upf
CELL_PARAMETERS angstrom
5.279 0.000 0.000
0.000 5.279 0.000
0.000 0.000 3.361
ATOMIC_POSITIONS angstrom
Br 2.640 0.000 0.000
Br 0.000 2.640 0.000
Ni 2.640 2.640 1.681
Te 0.000 0.000 1.681
! Energy relative to the elements, uncorrected = 2.74 eV/f.u.


no.,calculated volume (Å³/cell),electronic total energy (eV per atom)
1,1121.4,-3.478
2,93.7,-2.383